No. 1
A relaxed structure of InRhAu, computed with GGA-PBE.

The structure in POSCAR format:
```
InRhAu
1.0
2.405 -4.481 0.787
0.696 -2.072 4.659
-3.479 1.899 -3.281
In Rh Au
1 1 1
Direct
0.324 0.324 0.000
0.675 0.675 0.000
0.001 0.001 0.000
```

Energy relative to the elements in eV/atom: -0.136
Uncorrected energy in eV per atom: -4.591
Theoretical density in g/cm³: 13.03
Energy above the most stable polymorph in this dataset in eV per atom: 0.000

***

No. 2
A relaxed structure of InRhAu4, computed with GGA-PBE.

The structure in POSCAR format:
```
InRhAu4
1.0
0.000 3.864 3.864
3.864 0.000 3.864
3.864 3.864 0.000
In Au Rh
1 4 1
Direct
0.750 0.750 0.750
0.876 0.375 0.375
0.375 0.375 0.876
0.375 0.375 0.375
0.375 0.876 0.375
0.000 0.000 0.000
```

Energy relative to the elements in eV/atom: 0.210
Uncorrected energy in eV per atom: -3.657
Theoretical density in g/cm³: 14.47

***

No. 3
A relaxed structure of InRhAu2, computed with GGA-PBE.

The structure in POSCAR format:
```
InRhAu2
1.0
-0.232 3.789 -0.300
-3.109 -0.209 -0.227
-3.612 0.229 5.693
Au Rh In
2 1 1
Direct
0.000 0.001 0.999
0.500 0.257 0.243
0.500 0.763 0.737
0.000 0.480 0.521
```

Energy relative to the elements in eV/atom: -0.122
Uncorrected energy in eV per atom: -4.284
Theoretical density in g/cm³: 14.33

***

No. 4
A relaxed structure of In2RhAu, computed with GGA-PBE.

The structure in POSCAR format:
```
In2RhAu
1.0
8.466 -1.646 -0.016
8.466 1.646 -0.016
8.151 0.000 2.818
In Rh Au
2 1 1
Direct
0.755 0.755 0.755
0.245 0.245 0.245
0.500 0.500 0.500
0.000 0.000 0.000
```

Energy relative to the elements in eV/atom: -0.120
Uncorrected energy in eV per atom: -4.146
Theoretical density in g/cm³: 11.13

***

No. 5
A relaxed structure of InRhAu2, computed with GGA-PBE.

The structure in POSCAR format:
```
InRhAu2
1.0
-0.058 0.737 -3.138
-3.557 -2.894 -0.615
-5.625 1.457 0.445
In Au Rh
1 2 1
Direct
0.500 0.500 0.500
0.000 0.000 0.000
0.500 0.500 0.000
0.000 0.000 0.500
```

Energy relative to the elements in eV/atom: -0.125
Uncorrected energy in eV per atom: -4.286
Theoretical density in g/cm³: 14.29

***

No. 6
A relaxed structure of In2RhAu, computed with GGA-PBE.

The structure in POSCAR format:
```
In2RhAu
1.0
-2.519 1.998 -1.844
-1.670 -3.121 -1.100
-3.291 0.128 4.633
Rh In Au
1 2 1
Direct
0.000 0.000 0.465
0.000 0.000 0.968
0.500 0.500 0.292
0.500 0.500 0.775
```

Energy relative to the elements in eV/atom: -0.163
Uncorrected energy in eV per atom: -4.190
Theoretical density in g/cm³: 11.26

***

No. 7
A relaxed structure of InRhAu2, computed with GGA-PBE.

The structure in POSCAR format:
```
InRhAu2
1.0
9.286 -1.507 -0.014
9.286 1.507 -0.014
9.046 0.000 2.585
In Au Rh
1 2 1
Direct
0.500 0.500 0.500
0.747 0.747 0.747
0.253 0.253 0.253
0.000 0.000 0.000
```

Energy relative to the elements in eV/atom: 0.191
Uncorrected energy in eV per atom: -3.970
Theoretical density in g/cm³: 13.96

***

No. 8
A relaxed structure of InRhAu2, computed with GGA-PBE.

The structure in POSCAR format:
```
InRhAu2
1.0
-1.118 -1.018 -4.718
2.421 -4.177 -1.111
-3.000 1.000 3.814
Au In Rh
2 1 1
Direct
0.000 0.000 0.000
0.750 0.250 0.500
0.500 0.500 0.000
0.250 0.750 0.500
```

Energy relative to the elements in eV/atom: -0.144
Uncorrected energy in eV per atom: -4.305
Theoretical density in g/cm³: 14.45

***

No. 9
A relaxed structure of In2RhAu, computed with GGA-PBE.

The structure in POSCAR format:
```
In2RhAu
1.0
3.313 -3.316 0.000
3.313 3.316 0.000
0.000 0.000 3.381
In Rh Au
2 1 1
Direct
0.500 0.000 0.000
0.000 0.500 0.000
0.000 0.000 0.500
0.500 0.500 0.500
```

Energy relative to the elements in eV/atom: -0.203
Uncorrected energy in eV per atom: -4.230
Theoretical density in g/cm³: 11.84

***

No. 10
A relaxed structure of In6RhAu12, computed with GGA-PBE.

The structure in POSCAR format:
```
In6RhAu12
1.0
7.161 0.399 -0.439
-0.491 7.156 -0.439
0.352 0.399 7.166
Au In Rh
12 6 1
Direct
0.851 0.949 0.627
0.949 0.627 0.851
0.794 0.451 0.533
0.149 0.051 0.373
0.206 0.549 0.467
0.533 0.794 0.451
0.373 0.149 0.051
0.467 0.206 0.549
0.451 0.533 0.794
0.627 0.851 0.949
0.051 0.373 0.149
0.549 0.467 0.206
0.284 0.746 0.123
0.123 0.284 0.746
0.877 0.716 0.254
0.716 0.254 0.877
0.254 0.877 0.716
0.746 0.123 0.284
0.000 0.000 0.000
```

Energy relative to the elements in eV/atom: -0.102
Uncorrected energy in eV per atom: -3.424
Theoretical density in g/cm³: 14.12

***

No. 11
A relaxed structure of In3RhAu, computed with GGA-PBE.

The structure in POSCAR format:
```
In3RhAu
1.0
-3.131 -3.763 -1.492
2.570 -0.391 -4.408
3.128 -3.447 2.129
In Au Rh
3 1 1
Direct
0.000 0.000 0.500
0.000 0.500 0.000
0.500 0.000 0.000
0.500 0.500 0.500
0.000 0.000 0.000
```

Energy relative to the elements in eV/atom: -0.048
Uncorrected energy in eV per atom: -3.816
Theoretical density in g/cm³: 7.98
Energy above the most stable polymorph in this dataset in eV per atom: 0.174

***

No. 12
A relaxed structure of In2RhAu, computed with GGA-PBE.

The structure in POSCAR format:
```
In2RhAu
1.0
3.321 0.000 0.000
1.661 2.876 0.000
1.661 0.959 8.276
Rh In Au
1 2 1
Direct
0.666 0.666 0.001
0.078 0.078 0.766
0.255 0.255 0.235
0.500 0.500 0.499
```

Energy relative to the elements in eV/atom: -0.151
Uncorrected energy in eV per atom: -4.177
Theoretical density in g/cm³: 11.12

***

No. 13
A relaxed structure of In2RhAu, computed with GGA-PBE.

The structure in POSCAR format:
```
In2RhAu
1.0
3.230 0.000 0.000
0.000 3.230 0.000
0.000 0.000 7.713
Rh In Au
1 2 1
Direct
0.000 0.000 0.499
0.000 0.000 0.968
0.500 0.500 0.306
0.500 0.500 0.726
```

Energy relative to the elements in eV/atom: -0.060
Uncorrected energy in eV per atom: -4.087
Theoretical density in g/cm³: 10.93

***

No. 14
A relaxed structure of InRhAu2, computed with GGA-PBE.

The structure in POSCAR format:
```
InRhAu2
1.0
4.980 0.000 0.000
0.000 3.111 -0.007
0.000 0.120 4.690
Rh In Au
1 1 2
Direct
0.500 0.500 0.000
0.500 0.000 0.500
0.000 0.252 0.755
0.000 0.748 0.245
```

Energy relative to the elements in eV/atom: -0.042
Uncorrected energy in eV per atom: -4.203
Theoretical density in g/cm³: 13.98

***

No. 15
A relaxed structure of In5Rh6Au, computed with GGA-PBE.

The structure in POSCAR format:
```
In5Rh6Au
1.0
4.325 -0.026 1.441
0.035 6.460 0.012
0.000 -0.013 7.209
In Rh Au
5 6 1
Direct
0.000 0.500 0.000
0.333 0.500 0.334
0.667 0.500 0.666
0.339 0.000 0.322
0.661 0.000 0.678
0.830 0.250 0.340
0.170 0.250 0.660
0.500 0.741 0.000
0.170 0.750 0.660
0.500 0.259 0.000
0.830 0.750 0.340
0.000 0.000 0.000
```

Energy relative to the elements in eV/atom: -0.363
Uncorrected energy in eV per atom: -5.453
Theoretical density in g/cm³: 11.45

***

No. 16
A relaxed structure of InRhAu2, computed with GGA-PBE.

The structure in POSCAR format:
```
InRhAu2
1.0
3.671 -3.314 2.743
-1.583 -5.060 1.968
0.622 3.416 -4.464
Rh Au In
1 2 1
Direct
0.500 0.000 0.500
0.746 0.746 0.000
0.254 0.254 0.000
0.000 0.500 0.500
```

Energy relative to the elements in eV/atom: -0.078
Uncorrected energy in eV per atom: -4.239
Theoretical density in g/cm³: 14.22

***

No. 17
A relaxed structure of In3RhAu, computed with GGA-PBE.

The structure in POSCAR format:
```
In3RhAu
1.0
-4.343 2.606 1.776
0.427 -6.239 7.261
6.065 7.332 1.130
In Rh Au
12 4 4
Direct
0.750 0.063 0.437
0.241 0.344 0.659
0.946 0.644 0.671
0.554 0.829 0.856
0.750 0.566 0.934
0.250 0.937 0.563
0.741 0.159 0.844
0.446 0.171 0.144
0.259 0.841 0.156
0.054 0.356 0.329
0.759 0.656 0.341
0.250 0.434 0.066
0.750 0.398 0.102
0.250 0.109 0.391
0.250 0.602 0.898
0.750 0.891 0.609
0.869 0.020 0.132
0.369 0.632 0.520
0.631 0.368 0.480
0.131 0.980 0.868
```

Energy relative to the elements in eV/atom: -0.222
Uncorrected energy in eV per atom: -3.990
Theoretical density in g/cm³: 9.55
Energy above the most stable polymorph in this dataset in eV per atom: 0.000

***

No. 18
A relaxed structure of In2RhAu, computed with GGA-PBE.

The structure in POSCAR format:
```
In2RhAu
1.0
0.386 -4.637 -0.912
-1.500 -3.175 3.186
-3.884 -2.577 -0.868
In Rh Au
2 1 1
Direct
0.000 0.000 0.000
0.250 0.250 0.250
0.750 0.750 0.750
0.500 0.500 0.500
```

Energy relative to the elements in eV/atom: 0.027
Uncorrected energy in eV per atom: -3.999
Theoretical density in g/cm³: 11.67

***

No. 19
A relaxed structure of InRhAu2, computed with GGA-PBE.

The structure in POSCAR format:
```
InRhAu2
1.0
3.894 0.000 0.000
0.000 3.894 0.000
1.947 1.947 10.075
Rh In Au
2 2 4
Direct
0.250 0.750 0.500
0.500 0.500 0.000
0.000 0.000 0.000
0.750 0.250 0.500
0.620 0.125 0.250
0.375 0.380 0.750
0.130 0.625 0.250
0.875 0.870 0.750
```

Energy relative to the elements in eV/atom: 0.018
Uncorrected energy in eV per atom: -4.143
Theoretical density in g/cm³: 13.30

***

No. 20
A relaxed structure of InRhAu2, computed with GGA-PBE.

The structure in POSCAR format:
```
InRhAu2
1.0
-3.093 -3.859 -1.405
-2.378 -2.113 4.039
0.557 4.845 -1.628
Rh Au In
1 2 1
Direct
0.000 0.000 0.000
0.250 0.750 0.500
0.750 0.250 0.500
0.500 0.500 0.000
```

Energy relative to the elements in eV/atom: -0.086
Uncorrected energy in eV per atom: -4.247
Theoretical density in g/cm³: 14.37

***

No. 21
A relaxed structure of In2RhAu, computed with GGA-PBE.

The structure in POSCAR format:
```
In2RhAu
1.0
1.620 4.465 -0.005
-1.620 4.465 -0.005
0.000 1.099 5.285
In Au Rh
2 1 1
Direct
0.256 0.256 0.737
0.744 0.744 0.263
0.500 0.500 0.000
0.000 0.000 0.500
```

Energy relative to the elements in eV/atom: -0.118
Uncorrected energy in eV per atom: -4.144
Theoretical density in g/cm³: 11.50

***

No. 22
A relaxed structure of In2RhAu, computed with GGA-PBE.

The structure in POSCAR format:
```
In2RhAu
1.0
3.263 0.000 0.000
0.000 3.286 0.009
0.000 3.259 6.974
Rh In Au
1 2 1
Direct
0.500 0.250 0.250
0.000 0.982 0.018
0.000 0.518 0.482
0.500 0.750 0.750
```

Energy relative to the elements in eV/atom: -0.231
Uncorrected energy in eV per atom: -4.257
Theoretical density in g/cm³: 11.78

***

No. 23
A relaxed structure of InRhAu, computed with GGA-PBE.

The structure in POSCAR format:
```
InRhAu
1.0
0.000 3.141 3.141
3.141 0.000 3.141
3.141 3.141 0.000
Rh In Au
1 1 1
Direct
0.750 0.750 0.750
0.500 0.500 0.500
0.000 0.000 0.000
```

Energy relative to the elements in eV/atom: -0.061
Uncorrected energy in eV per atom: -4.517
Theoretical density in g/cm³: 11.11
Energy above the most stable polymorph in this dataset in eV per atom: 0.075

***

No. 24
A relaxed structure of InRhAu, computed with GGA-PBE.

The structure in POSCAR format:
```
InRhAu
1.0
0.946 3.195 -2.999
-3.525 0.462 2.730
1.789 1.414 2.071
Rh Au In
1 1 1
Direct
0.667 0.333 0.638
0.000 0.000 0.035
0.333 0.667 0.328
```

Energy relative to the elements in eV/atom: -0.084
Uncorrected energy in eV per atom: -4.540
Theoretical density in g/cm³: 12.85
Energy above the most stable polymorph in this dataset in eV per atom: 0.052

***

No. 25
A relaxed structure of In2RhAu, computed with GGA-PBE.

The structure in POSCAR format:
```
In2RhAu
1.0
-2.004 2.004 4.626
2.004 -2.004 4.626
2.004 2.004 -4.626
Rh In Au
1 2 1
Direct
0.500 0.500 0.000
0.250 0.750 0.500
0.000 0.000 0.000
0.750 0.250 0.500
```

Energy relative to the elements in eV/atom: -0.217
Uncorrected energy in eV per atom: -4.244
Theoretical density in g/cm³: 11.83

***

No. 26
A relaxed structure of ScInRhAu2, computed with GGA-PBE.

The structure in POSCAR format:
```
ScInRhAu2
1.0
4.982 0.000 0.000
0.000 5.427 0.000
0.000 0.000 4.982
In Sc Au Rh
1 1 2 1
Direct
0.000 0.500 0.000
0.000 0.000 0.000
0.500 0.000 0.000
0.000 0.000 0.500
0.500 0.500 0.500
```

Energy relative to the elements in eV/atom: 0.956
Uncorrected energy in eV per atom: -3.639
Theoretical density in g/cm³: 8.09

***

No. 27
A relaxed structure of Sc4InRh2Au, computed with GGA-PBE.

The structure in POSCAR format:
```
Sc4InRh2Au
1.0
4.749 0.000 0.000
2.374 4.113 0.000
2.374 1.371 7.772
Rh Sc Au In
2 4 1 1
Direct
0.254 0.254 0.237
0.746 0.746 0.763
0.128 0.128 0.615
0.379 0.379 0.863
0.621 0.621 0.137
0.872 0.872 0.385
0.500 0.500 0.500
0.000 0.000 0.000
```

Energy relative to the elements in eV/atom: -0.741
Uncorrected energy in eV per atom: -6.497
Theoretical density in g/cm³: 7.63